# 1
The following is a DFT calculation (PBE+U) of a relaxed CoCu2AsO6 crystal.

a = 6.893 Å, b = 6.893 Å, c = 5.345 Å
α = 106.62°, β = 106.62°, γ = 78.66°
Fractional coordinates of all 20 atoms:
Co  0.094  0.906  0.750
Co  0.906  0.094  0.250
Cu  0.223  0.371  0.842
Cu  0.371  0.223  0.342
Cu  0.629  0.777  0.658
Cu  0.777  0.629  0.158
As  0.252  0.748  0.250
As  0.748  0.252  0.750
O  0.014  0.189  0.666
O  0.156  0.664  0.881
O  0.189  0.014  0.166
O  0.264  0.472  0.229
O  0.336  0.844  0.619
O  0.472  0.264  0.729
O  0.528  0.736  0.271
O  0.664  0.156  0.381
O  0.736  0.528  0.771
O  0.811  0.986  0.834
O  0.844  0.336  0.119
O  0.986  0.811  0.334

Calculated values
Final energy, eV for the cell shown: -110.63

# 2
The following is a DFT calculation (PBE+U) of a relaxed CoCuAs2O8 crystal.

a = 5.576 Å, b = 5.576 Å, c = 5.576 Å
α = 109.05°, β = 109.05°, γ = 110.31°
Fractional coordinates of all 12 atoms:
Co  0.000  0.000  0.000
Cu  0.250  0.750  0.500
As  0.500  0.500  0.000
As  0.750  0.250  0.500
O  0.309  0.118  0.809
O  0.309  0.500  0.191
O  0.370  0.067  0.304
O  0.500  0.691  0.809
O  0.763  0.067  0.696
O  0.882  0.691  0.191
O  0.933  0.237  0.304
O  0.933  0.630  0.696

Calculated values
Final energy, eV for the cell shown: -66.37

# 3
The following is a DFT calculation (PBE+U) of a relaxed CoCuAs2O6 crystal.

a = 6.681 Å, b = 6.681 Å, c = 5.144 Å
α = 99.20°, β = 99.20°, γ = 81.30°
Fractional coordinates of all 20 atoms:
Co  0.087  0.913  0.750
Co  0.913  0.087  0.250
Cu  0.290  0.710  0.250
Cu  0.710  0.290  0.750
As  0.163  0.413  0.649
As  0.413  0.163  0.149
As  0.587  0.837  0.851
As  0.837  0.587  0.351
O  0.025  0.181  0.618
O  0.155  0.647  0.886
O  0.181  0.025  0.118
O  0.300  0.397  0.350
O  0.353  0.845  0.614
O  0.397  0.300  0.850
O  0.603  0.700  0.150
O  0.647  0.155  0.386
O  0.700  0.603  0.650
O  0.819  0.975  0.882
O  0.845  0.353  0.114
O  0.975  0.819  0.382

Calculated values
Final energy, eV for the cell shown: -112.76

# 4
The following is a DFT calculation (PBE+U) of a relaxed CoCuAsO6 crystal.

a = 4.836 Å, b = 4.836 Å, c = 8.673 Å
α = 90.00°, β = 90.00°, γ = 120.00°
Fractional coordinates of all 18 atoms:
Co  0.333  0.667  0.250
Co  0.667  0.333  0.750
Cu  0.000  0.000  0.000
Cu  0.000  0.000  0.500
As  0.333  0.667  0.750
As  0.667  0.333  0.250
O  0.001  0.357  0.633
O  0.001  0.644  0.867
O  0.356  0.357  0.867
O  0.356  0.999  0.633
O  0.357  0.001  0.133
O  0.357  0.356  0.367
O  0.643  0.644  0.633
O  0.643  0.999  0.867
O  0.644  0.001  0.367
O  0.644  0.643  0.133
O  0.999  0.356  0.133
O  0.999  0.643  0.367

Calculated values
Final energy, eV for the cell shown: -100.26